# 1
VASP calculation (PBE) on a geometry-optimized ZnWAu2 structure.

electronic total energy = -4.741 eV per atom
density of states at the Fermi level = 4.4 states/eV/f.u.

Cell lengths 4.0817, 4.0817, 4.0155 Å; angles 90.00, 90.00, 90.00 degrees
Closest atoms and distances in Å follow each position.
Element x y z (fractional)
Zn1 0.0000 0.0000 0.0000  8 Au 2.86, 4 W 2.89
W1 0.5000 0.5000 0.0000  8 Au 2.86, 4 Zn 2.89
Au1 0.0000 0.5000 0.5000  4 W 2.86, 4 Zn 2.86, 4 Au 2.89
Au2 0.5000 0.0000 0.5000  4 W 2.86, 4 Zn 2.86, 4 Au 2.89

# 2
VASP calculation (PBE) on a geometry-optimized Sr2SnBiP structure.

offset from the most stable computed form = 0.985 eV/atom
electronic total energy = -3.084 eV per atom
density of states at the Fermi level = 2.7 states/eV/f.u.

Cell lengths 6.1772, 6.1772, 5.6230 Å; angles 90.00, 90.00, 90.00 degrees
Closest atoms and distances in Å follow each position.
Element x y z (fractional)
Sr1 0.0000 0.5000 0.0000  2 Sn 3.09
Sr2 0.5000 0.0000 0.0000  2 Sn 3.09
Sn1 0.0000 0.0000 0.0000  2 Bi 2.81, 4 Sr 3.09
Bi1 0.0000 0.0000 0.5000  2 Sn 2.81
P1 0.5000 0.5000 0.5000  8 Sr 4.18, 4 Bi 4.37

# 3
VASP calculation (PBE) on a geometry-optimized BaCuSi structure.

uncorrected formation energy = -25.4 kJ per mole of atoms
electronic total energy = -4.078 eV per atom
density of states at the Fermi level = 2.4 states/eV/f.u.

Cell lengths 4.1790, 4.1790, 5.0554 Å; angles 90.00, 90.00, 120.00 degrees
Closest atoms and distances in Å follow each position.
Element x y z (fractional)
Ba1 0.0000 0.0000 0.0000  6 Cu 3.49, 6 Si 3.49
Cu1 0.6667 0.3333 0.5000  3 Si 2.41
Si1 0.3333 0.6667 0.5000  3 Cu 2.41